VASP calculation (SCAN) on Sc3MnH at its PBEsol-relaxed geometry.

Unit cell a=4.743 b=4.743 c=4.743 alpha=90.00 beta=90.00 gamma=90.00
Element x y z (fractional)
Sc1 0.000 0.000 0.500
Sc2 0.000 0.500 0.000
Sc3 0.500 0.000 0.000
Mn1 0.000 0.000 0.000
H1 0.500 0.500 0.500

Calculated values
Symmetry: Pm-3m (221)
DOS at the Fermi energy in states/eV/cell: 5.05
Final energy in eV/atom: -12.132